No. 1
! Cd3Re | Alexandria via LeMat-Bulk | GGA-PBE | relaxed; values from VASP
! N(E_F) = 2.81 states/eV/f.u.
! Energy above the lowest structure with this stoichiometry = 153 meV/atom
! Density = 11.444 g cm⁻³
! Energy = -3.255 eV/atom
! E_form = 0.54 eV per atom
&SYSTEM
  ibrav = 0, nat = 4, ntyp = 2
/
ATOMIC_SPECIES
Cd 112.41 Cd.upf
Re 186.21 Re.upf
CELL_PARAMETERS angstrom
2.838 0.000 0.000
0.000 4.449 0.000
-0.091 0.000 6.014
ATOMIC_POSITIONS angstrom
Cd 0.000 0.000 0.000
Cd 1.383 2.225 1.601
Cd 1.365 2.225 4.413
Re -0.045 0.000 3.007



No. 2
! CdRe | Alexandria via LeMat-Bulk | GGA-PBE | relaxed; values from VASP
! N(E_F) = 1.92 states/eV/f.u.
! Energy above the lowest structure with this stoichiometry = 2636 meV/atom
! Density = 6.656 g cm⁻³
! Energy = -3.820 eV/atom
! E_form = 2.86 eV per atom
&SYSTEM
  ibrav = 0, nat = 12, ntyp = 2
/
ATOMIC_SPECIES
Cd 112.41 Cd.upf
Re 186.21 Re.upf
CELL_PARAMETERS angstrom
7.646 0.000 0.000
0.000 7.646 0.000
0.000 0.000 7.646
ATOMIC_POSITIONS angstrom
Cd 0.000 1.911 3.823
Cd 0.000 5.734 3.823
Cd 1.911 3.823 0.000
Cd 3.823 0.000 1.911
Cd 3.823 0.000 5.734
Cd 5.734 3.823 0.000
Re 0.000 3.823 1.911
Re 0.000 3.823 5.734
Re 1.911 0.000 3.823
Re 3.823 1.911 0.000
Re 3.823 5.734 0.000
Re 5.734 0.000 3.823



No. 3
! CdRe5 | Alexandria via LeMat-Bulk | GGA-PBE | relaxed; values from VASP
! N(E_F) = 6.02 states/eV/f.u.
! Energy above the lowest structure with this stoichiometry = 0 meV/atom
! Density = 18.444 g cm⁻³
! Energy = -10.206 eV/atom
! E_form = 0.32 eV per atom
&SYSTEM
  ibrav = 0, nat = 6, ntyp = 2
/
ATOMIC_SPECIES
Cd 112.41 Cd.upf
Re 186.21 Re.upf
CELL_PARAMETERS angstrom
5.150 -1.422 0.000
5.150 1.422 0.000
-1.775 0.000 6.415
ATOMIC_POSITIONS angstrom
Cd 0.000 0.000 0.000
Re -0.516 0.000 3.785
Re 2.228 0.000 4.197
Re 3.330 0.000 1.710
Re 6.283 0.000 2.206
Re 5.764 0.000 5.887



No. 4
! Cd3Re | Alexandria via LeMat-Bulk | GGA-PBE | relaxed; values from VASP
! N(E_F) = 2.72 states/eV/f.u.
! Energy above the lowest structure with this stoichiometry = 38 meV/atom
! Density = 10.719 g cm⁻³
! Energy = -3.370 eV/atom
! E_form = 0.43 eV per atom
&SYSTEM
  ibrav = 0, nat = 4, ntyp = 2
/
ATOMIC_SPECIES
Cd 112.41 Cd.upf
Re 186.21 Re.upf
CELL_PARAMETERS angstrom
1.433 0.828 11.394
-1.433 0.828 11.394
0.000 -1.655 11.394
ATOMIC_POSITIONS angstrom
Cd 0.000 0.000 0.000
Cd 0.000 0.000 8.176
Cd 0.000 0.000 26.005
Re 0.000 0.000 17.091



No. 5
! CdRe3 | Alexandria via LeMat-Bulk | GGA-PBE | relaxed; values from VASP
! N(E_F) = 2.66 states/eV/f.u.
! Energy above the lowest structure with this stoichiometry = 383 meV/atom
! Density = 17.550 g cm⁻³
! Energy = -8.908 eV/atom
! E_form = 0.66 eV per atom
&SYSTEM
  ibrav = 0, nat = 4, ntyp = 2
/
ATOMIC_SPECIES
Cd 112.41 Cd.upf
Re 186.21 Re.upf
CELL_PARAMETERS angstrom
-1.992 1.992 4.001
1.992 -1.992 4.001
1.992 1.992 -4.001
ATOMIC_POSITIONS angstrom
Cd 0.000 0.000 0.000
Re 1.992 0.000 2.001
Re 0.000 0.000 4.001
Re 0.000 1.992 2.001



No. 6
! CdRe5 | Alexandria via LeMat-Bulk | GGA-PBE | relaxed; values from VASP
! N(E_F) = 5.93 states/eV/f.u.
! Energy above the lowest structure with this stoichiometry = 282 meV/atom
! Density = 16.533 g cm⁻³
! Energy = -9.924 eV/atom
! E_form = 0.60 eV per atom
&SYSTEM
  ibrav = 0, nat = 6, ntyp = 2
/
ATOMIC_SPECIES
Cd 112.41 Cd.upf
Re 186.21 Re.upf
CELL_PARAMETERS angstrom
5.118 0.000 0.000
-2.559 4.432 0.000
0.000 0.000 4.620
ATOMIC_POSITIONS angstrom
Cd 0.000 0.000 0.000
Re -1.279 2.216 2.310
Re 0.000 2.955 0.000
Re 2.559 0.000 2.310
Re 1.279 2.216 2.310
Re 2.559 1.477 0.000